A plane-wave DFT calculation with PBE-GGA was carried out for an optimized crystal structure of Ba3TmNp2O9.

The structure in POSCAR format:
```
Ba3TmNp2O9
1.0
6.1928 0.0000 0.0000
-3.0964 5.3631 0.0000
0.0000 0.0000 7.5997
Ba Tm Np O
3 1 2 9
Direct
0.0000 0.0000 0.0000
0.3333 0.6667 0.6577
0.6667 0.3333 0.3423
0.0000 0.0000 0.5000
0.3333 0.6667 0.1686
0.6667 0.3333 0.8314
0.0000 0.5000 0.0000
0.1689 0.3379 0.3313
0.1689 0.8311 0.3313
0.3379 0.1689 0.6687
0.5000 0.0000 0.0000
0.5000 0.5000 0.0000
0.6621 0.8311 0.3313
0.8311 0.1689 0.6687
0.8311 0.6621 0.6687
```

## Properties
- D(E_F): 11.4 states/eV/cell
- ΔE_f (raw): -3.085 eV per atom
- Final energy: -127.0 eV per cell